Record 1
Density functional theory data (PBE) for an optimized crystal structure of Tb3HoRh4.

Values from the calculation:
Total magnetization: 0.00 μB/f.u.
ΔH_f (0 K): -0.858 eV per atom
N(E_F): 0.555 states/eV per atom
Symmetry: P4/mmm, No. 123

abc: 4.891 4.891 6.767
angles: 90.00 90.00 90.00
Fractional positions:
Tb1 0.000 0.000 0.000
Tb2 0.000 0.000 0.500
Tb3 0.500 0.500 0.000
Ho1 0.500 0.500 0.500
Rh1 0.000 0.500 0.251
Rh2 0.000 0.500 0.749
Rh3 0.500 0.000 0.251
Rh4 0.500 0.000 0.749

***

Record 2
Density functional theory data (PBE) for an optimized crystal structure of LaGa3PtAu.

Values from the calculation:
Total magnetization: 0.00 μB/f.u.
ΔH_f (0 K): -0.473 eV per atom
N(E_F): 0.521 states/eV per atom
Symmetry: Cmcm, No. 63

abc: 7.790 7.790 6.116
angles: 90.00 90.00 129.91
Fractional positions:
La1 0.182 0.818 0.750
La2 0.818 0.182 0.250
Ga1 0.215 0.785 0.250
Ga2 0.291 0.291 0.000
Ga3 0.291 0.291 0.500
Ga4 0.709 0.709 0.000
Ga5 0.709 0.709 0.500
Ga6 0.785 0.215 0.750
Pt1 0.046 0.954 0.250
Pt2 0.954 0.046 0.750
Au1 0.385 0.615 0.250
Au2 0.615 0.385 0.750